VASP calculation (PBE) on a relaxed structure of Pm12Y7Tl.

The structure in POSCAR format:
```
Pm12Y7Tl
1.0
-0.650 -3.078 8.348
8.609 -2.040 1.148
2.412 7.502 4.183
Pm Y Tl
12 7 1
direct
0.784 0.182 0.784
0.818 0.216 0.216
0.539 0.152 0.539
0.848 0.461 0.461
0.216 0.216 0.818
0.461 0.461 0.848
0.539 0.539 0.152
0.784 0.784 0.182
0.152 0.539 0.539
0.461 0.848 0.461
0.182 0.784 0.784
0.216 0.818 0.216
0.861 0.545 0.861
0.455 0.139 0.139
0.139 0.139 0.455
0.500 0.500 0.500
0.861 0.861 0.545
0.545 0.861 0.861
0.139 0.455 0.139
0.000 0.000 0.000
```

Crystal system: trigonal
E_tot: -5.075 eV per atom

VASP calculation (PBE) on a relaxed structure of Pm5Y2Tl.

The structure in POSCAR format:
```
Pm5Y2Tl
1.0
-1.511 2.033 -2.407
4.188 -6.654 -8.248
-6.706 -1.380 5.580
Pm Y Tl
5 2 1
direct
0.000 0.500 0.000
0.631 0.398 0.262
0.369 0.602 0.738
0.631 0.864 0.262
0.369 0.136 0.738
0.271 0.771 0.542
0.729 0.229 0.458
0.000 0.000 0.000
```

Crystal system: orthorhombic
E_tot: -4.889 eV per atom

VASP calculation (PBE) on a relaxed structure of Pm3YTl4.

The structure in POSCAR format:
```
Pm3YTl4
1.0
3.850 0.000 0.000
0.000 3.850 0.000
0.000 0.000 15.520
Y Tl Pm
1 4 3
direct
0.500 0.500 0.000
0.000 0.000 0.881
0.000 0.000 0.119
0.000 0.000 0.373
0.000 0.000 0.627
0.500 0.500 0.246
0.500 0.500 0.500
0.500 0.500 0.754
```

Crystal system: tetragonal
E_tot: -4.163 eV per atom

VASP calculation (PBE) on a relaxed structure of Pm2Y3Tl3.

The structure in POSCAR format:
```
Pm2Y3Tl3
1.0
4.415 0.000 -0.711
-0.187 4.827 -1.161
-0.503 0.055 10.941
Pm Y Tl
2 3 3
direct
0.262 0.762 0.524
0.738 0.238 0.476
0.383 0.383 0.766
0.617 0.617 0.234
0.500 0.000 0.000
0.876 0.876 0.751
0.000 0.500 0.000
0.124 0.124 0.249
```

Crystal system: orthorhombic
E_tot: -4.770 eV per atom
E above lowest polymorph: 38 meV per atom

VASP calculation (PBE) on a relaxed structure of PmY2Tl.

The structure in POSCAR format:
```
PmY2Tl
1.0
3.678 -0.001 0.000
1.839 3.185 0.000
1.838 1.061 10.780
Pm Y Tl
1 2 1
direct
0.500 0.500 0.500
0.077 0.077 0.770
0.257 0.257 0.229
0.667 0.667 0.000
```

Crystal system: trigonal
E_tot: -5.132 eV per atom
E above lowest polymorph: 76 meV per atom

VASP calculation (PBE) on a relaxed structure of PmY3Tl2.

The structure in POSCAR format:
```
PmY3Tl2
1.0
-2.605 4.416 -0.289
-2.970 -1.356 6.043
7.504 4.739 4.751
Pm Y Tl
2 6 4
direct
0.500 0.549 0.544
0.500 0.049 0.456
0.000 0.454 0.955
0.000 0.954 0.045
0.500 0.670 0.184
0.500 0.170 0.816
0.000 0.328 0.309
0.000 0.828 0.691
0.500 0.710 0.868
0.500 0.210 0.132
0.000 0.288 0.635
0.000 0.788 0.365
```

Crystal system: orthorhombic
E_tot: -5.113 eV per atom
E above lowest polymorph: 0 meV per atom

no.,ΔH_f (0 K) (meV per atom),DOS(E_F) (states/eV per cell)
1,156,26.2
2,-8,11.1
3,-390,6.4
4,-271,8.2
5,-121,5.7
6,-300,13.0